K2YRu: relaxed, PBE.

a = 3.1741 Å, b = 3.1741 Å, c = 12.5728 Å
α = 90.00°, β = 90.00°, γ = 90.00°
Closest atoms and distances in Å follow each position.
Space group P4/mmm (No. 123)
Asymmetric unit:
K 0.0000 0.0000 0.2029  4 K 3.17, 4 Ru 3.40
Y 0.5000 0.5000 0.5000  4 Y 3.17
Ru 0.5000 0.5000 0.0000  4 Ru 3.17, 8 K 3.40

Calculated values
M_tot = 1.74 μB/f.u.
DOS(E_F) = 4.13 states/eV/f.u.
Relative energy among the computed polymorphs = 0.776 eV per atom

=====

SrReSi3: relaxed, PBE.

a = 4.7659 Å, b = 4.7659 Å, c = 4.7659 Å
α = 90.00°, β = 90.00°, γ = 90.00°
Closest atoms and distances in Å follow each position.
Space group Pm-3m (No. 221)
Asymmetric unit:
Sr 0.0000 0.0000 0.0000  12 Si 3.37
Re 0.5000 0.5000 0.5000  6 Si 2.38
Si 0.0000 0.5000 0.5000  2 Re 2.38

Calculated values
M_tot = 0.00 μB/f.u.
DOS(E_F) = 3.61 states/eV/f.u.
Formation energy (no corrections) = 94.1 meV per atom
Relative energy among the computed polymorphs = 0.000 eV per atom

=====

Bi3HPt: relaxed, PBE.

a = 4.7847 Å, b = 4.7847 Å, c = 4.7847 Å
α = 90.00°, β = 90.00°, γ = 90.00°
Closest atoms and distances in Å follow each position.
Space group Pm-3m (No. 221)
Asymmetric unit:
Bi 0.0000 0.0000 0.5000  2 H 2.39
H 0.0000 0.0000 0.0000  6 Bi 2.39
Pt 0.5000 0.5000 0.5000  12 Bi 3.38

Calculated values
M_tot = 0.00 μB/f.u.
DOS(E_F) = 1.51 states/eV/f.u.
Relative energy among the computed polymorphs = 0.000 eV per atom

=====

KThTl2: relaxed, PBE.

a = 6.0820 Å, b = 6.0820 Å, c = 3.4061 Å
α = 90.00°, β = 90.00°, γ = 90.00°
Closest atoms and distances in Å follow each position.
Space group P4/mmm (No. 123)
Asymmetric unit:
K 0.0000 0.0000 0.0000  2 K 3.41, 8 Tl 3.49
Th 0.5000 0.5000 0.0000  2 Th 3.41, 8 Tl 3.49
Tl 0.0000 0.5000 0.5000  2 Tl 3.41, 4 Th 3.49, 4 K 3.49

Calculated values
M_tot = 0.00 μB/f.u.
DOS(E_F) = 3.11 states/eV/f.u.
Relative energy among the computed polymorphs = 0.037 eV per atom

=====

AcLaAgAu: relaxed, PBE.

a = 7.7351 Å, b = 7.7351 Å, c = 7.7351 Å
α = 90.00°, β = 90.00°, γ = 90.00°
Closest atoms and distances in Å follow each position.
Space group F-43m (No. 216)
Asymmetric unit:
Ac 0.0000 0.0000 0.0000  4 Ag 3.35, 4 Au 3.35
La 0.0000 0.0000 0.5000  4 Ag 3.35, 4 Au 3.35
Ag 0.2500 0.2500 0.2500  4 Ac 3.35, 4 La 3.35
Au 0.2500 0.2500 0.7500  4 Ac 3.35, 4 La 3.35

Calculated values
M_tot = 0.00 μB/f.u.
DOS(E_F) = 3.21 states/eV/f.u.
Relative energy among the computed polymorphs = 0.025 eV per atom

=====

LuNiPd2: relaxed, PBE.

a = 6.4086 Å, b = 6.4086 Å, c = 6.4086 Å
α = 90.00°, β = 90.00°, γ = 90.00°
Closest atoms and distances in Å follow each position.
Space group Fm-3m (No. 225)
Asymmetric unit:
Lu 0.0000 0.0000 0.0000  8 Pd 2.78
Ni 0.0000 0.0000 0.5000  8 Pd 2.78
Pd 0.2500 0.2500 0.2500  4 Ni 2.78, 4 Lu 2.78

Calculated values
M_tot = 0.00 μB/f.u.
DOS(E_F) = 3.21 states/eV/f.u.
Raw total energy = -91.9 eV/cell

=====

NbZnSO2: relaxed, PBE.

a = 3.6518 Å, b = 3.6518 Å, c = 6.0798 Å
α = 90.00°, β = 90.00°, γ = 90.00°
Closest atoms and distances in Å follow each position.
Space group P4/mmm (No. 123)
Asymmetric unit:
Nb 0.0000 0.0000 0.0000  4 S 2.58
Zn 0.0000 0.0000 0.5000  4 O 1.83
S 0.5000 0.5000 0.0000  4 Nb 2.58
O 0.0000 0.5000 0.5000  2 Zn 1.83

Calculated values
M_tot = 2.66 μB/f.u.
DOS(E_F) = 5.46 states/eV/f.u.
Formation energy (no corrections) = 23.6 meV per atom

=====

LuHgBi2: relaxed, PBE.

a = 4.5305 Å, b = 4.5305 Å, c = 27.0638 Å
α = 90.00°, β = 90.00°, γ = 120.00°
Closest atoms and distances in Å follow each position.
Space group R-3m (No. 166, hexagonal axes)
Asymmetric unit:
Lu 0.0000 0.0000 0.0000  6 Bi 3.11
Hg 0.0000 0.0000 0.5000  2 Bi 2.84
Bi 0.0000 0.0000 0.3952  1 Hg 2.84, 3 Lu 3.11

Calculated values
M_tot = 0.00 μB/f.u.
DOS(E_F) = 2.05 states/eV/f.u.
Raw total energy = -38.4 eV/cell

=====

CdInSb: relaxed, PBE.

a = 9.6009 Å, b = 5.3441 Å, c = 3.3150 Å
α = 90.00°, β = 104.96°, γ = 90.00°
Closest atoms and distances in Å follow each position.
Space group Cm (No. 8)
Asymmetric unit:
Cd 0.0000 0.0000 0.0000  3 Sb 3.15-3.28, 2 Cd 3.32, 5 In 3.36-3.43
In 0.3666 0.0000 0.4091  4 Sb 3.21-3.39, 2 In 3.32, 5 Cd 3.36-3.43
Sb 0.1784 0.5000 0.1732  3 Cd 3.15-3.28, 4 In 3.21-3.39, 2 Sb 3.32

Calculated values
M_tot = 0.00 μB/f.u.
DOS(E_F) = 1.47 states/eV/f.u.
Formation energy (no corrections) = 78.1 meV per atom

=====

Cd3As2Cl: relaxed, PBE.

a = 7.7574 Å, b = 13.2852 Å, c = 7.6111 Å
α = 90.00°, β = 114.43°, γ = 90.00°
Closest atoms and distances in Å follow each position.
Space group Cc (No. 9)
Asymmetric unit:
Cd 0.0000 0.0921 0.0000  2 As 2.59-2.62, 2 Cl 2.76-2.86
Cd 0.0283 0.2673 0.5164  3 As 2.61-2.67, 1 Cl 2.87
Cd 0.0501 0.4082 0.0156  3 As 2.62, 1 Cl 2.87
As 0.1375 0.4253 0.3863  4 Cd 2.59-2.62
As 0.1531 0.2435 0.8967  4 Cd 2.62-2.67
Cl 0.1476 0.0851 0.3971  4 Cd 2.76-2.87

Calculated values
M_tot = 0.00 μB/f.u.
DOS(E_F) = 3.26 states/eV/f.u.
Formation energy (no corrections) = -232.2 meV per atom

=====

Pa4Ni: relaxed, PBE.

a = 5.0739 Å, b = 5.0739 Å, c = 5.0739 Å
α = 90.00°, β = 90.00°, γ = 90.00°
Closest atoms and distances in Å follow each position.
Space group Pm-3m (No. 221)
Asymmetric unit:
Pa 0.0000 0.0000 0.0000  12 Pa 3.59
Pa 0.0000 0.5000 0.5000  2 Ni 2.54
Ni 0.5000 0.5000 0.5000  6 Pa 2.54

Calculated values
M_tot = 0.00 μB/f.u.
DOS(E_F) = 9.34 states/eV/f.u.
Raw total energy = -41.6 eV/cell

=====

La8Ni3PdI4: relaxed, PBE.

a = 8.4987 Å, b = 8.4987 Å, c = 24.6653 Å
α = 90.00°, β = 90.00°, γ = 120.00°
Closest atoms and distances in Å follow each position.
Space group R-3m (No. 166, hexagonal axes)
Asymmetric unit:
La 0.0000 0.0000 0.2277  3 Ni 2.88
La 0.0091 0.5046 0.7715  2 Ni 2.86, 1 Pd 2.95
Ni 0.0000 0.5000 0.5000  6 La 2.86-2.88
Pd 0.0000 0.0000 0.5000  6 La 2.95
I 0.0000 0.0000 0.0000  6 La 3.52
I 0.0000 0.5000 0.0000  6 La 3.58-3.59

Calculated values
M_tot = 0.00 μB/f.u.
DOS(E_F) = 12.83 states/eV/f.u.
Formation energy (no corrections) = -789.0 meV per atom